ScZn2Ir | GGA-PBE | relaxed

The structure belongs to space group P4mm (No. 99); the cell edges are 3.118, 3.118 and 6.735 Å and the angles 90.00°, 90.00° and 90.00°. The inequivalent atoms are Sc at (0.000, 0.000, 0.000), Zn at (0.000, 0.000, 0.537), Zn at (0.500, 0.500, 0.311) and Ir at (0.500, 0.500, 0.759).

The total energy comes out at -4.861 eV per atom. As for the energy of formation: -0.43 eV/atom.